CoTeO3: optimized geometry, GGA+U.

Output
total magnetization = 3.00 μB/f.u.
symmetry = R-3
raw total energy = -5.407 eV/atom
calculated volume = 11.84 Å³/atom

a b c (Å): 5.4310 5.4310 5.4310
angles (deg): 62.02 62.02 62.02
With the nearest neighbours (Å) after each atom.
Fractional coordinates of all 10 atoms:
Co 0.3627 0.3627 0.3627  6 O 2.08-2.17
Co 0.6373 0.6373 0.6373  6 O 2.08-2.17
O 0.5073 0.7172 0.0436  1 Te 2.03, 2 Co 2.08-2.17
O 0.9564 0.4927 0.2828  1 Te 2.03, 2 Co 2.08-2.17
O 0.2828 0.9564 0.4927  1 Te 2.03, 2 Co 2.08-2.17
O 0.7172 0.0436 0.5073  1 Te 2.03, 2 Co 2.08-2.17
O 0.0436 0.5073 0.7172  1 Te 2.03, 2 Co 2.08-2.17
O 0.4927 0.2828 0.9564  1 Te 2.03, 2 Co 2.08-2.17
Te 0.1406 0.1406 0.1406  3 O 2.03
Te 0.8594 0.8594 0.8594  3 O 2.03